Below is ReRu after structural relaxation, with properties calculated at the PBE-GGA level.

Output
- Magnetic moment: 0.52 μB/f.u.
- DOS at the Fermi energy: 3.0 states/eV/f.u.
- E: -10.307 eV per atom

Cell and atoms, written as POSCAR:
```
ReRu
1.0
-0.847 1.174 2.731
-2.473 -1.854 0.029
1.649 -2.177 1.447
Re Ru
1 1
direct
0.000 0.000 0.000
0.500 0.500 0.500
```